A | ErMgAg4 (GGA-PBE, optimized geometry); symmetry = C2/m (12)
1.0
3.2897 -3.2884 0.0000
3.2897 3.2884 0.0000
-0.0093 0.0000 6.5818
Er Mg Ag
1 1 4
Cartesian
0.0000 0.0000 0.0000
3.2850 0.0000 3.2909
4.9329 -1.6427 1.8191
1.6371 1.6427 4.7628
4.9329 1.6427 1.8191
1.6371 -1.6427 4.7628

***

B | ErMgAg4 (GGA-PBE, optimized geometry); symmetry = C2/m (12)
1.0
4.8961 -1.8234 0.0000
4.8961 1.8234 0.0000
-2.4980 0.0000 6.6633
Er Mg Ag
1 1 4
Cartesian
0.0000 0.0000 0.0000
-1.2490 0.0000 3.3316
2.7882 0.0000 1.1991
1.6580 0.0000 4.3613
5.6361 0.0000 2.3019
4.5059 0.0000 5.4642

***

Stability, lowest: A

***

A | ErMgAg6 (GGA-PBE, optimized geometry); symmetry = P4/mmm (123)
1.0
4.2701 0.0000 0.0000
0.0000 4.2701 0.0000
0.0000 0.0000 8.4846
Er Mg Ag
1 1 6
Cartesian
0.0000 0.0000 0.0000
0.0000 0.0000 4.2423
0.0000 2.1350 2.2054
0.0000 2.1350 6.2792
2.1350 0.0000 2.2054
2.1350 0.0000 6.2792
2.1350 2.1350 0.0000
2.1350 2.1350 4.2423

***

B | ErMgAg6 (GGA-PBE, optimized geometry); symmetry = C2/m (12)
1.0
4.8039 -2.0694 0.0000
4.8039 2.0694 0.0000
-3.8023 0.0000 7.6777
Er Mg Ag
1 1 6
Cartesian
0.0000 0.0000 0.0000
-1.9012 0.0000 3.8388
-0.9350 0.0000 6.6690
0.9691 0.0000 2.9151
3.8085 0.0000 1.9943
1.9969 0.0000 5.6834
4.8363 0.0000 4.7626
6.7404 0.0000 1.0087

***

Stability, lowest: A

***

A | Er4Mg3Ag (GGA-PBE, optimized geometry); symmetry = P4/mmm (123)
1.0
3.7142 0.0000 0.0000
0.0000 3.7142 0.0000
0.0000 0.0000 14.9218
Er Mg Ag
4 3 1
Cartesian
0.0000 0.0000 1.7374
0.0000 0.0000 5.5442
0.0000 0.0000 9.3775
0.0000 0.0000 13.1844
1.8571 1.8571 3.6794
1.8571 1.8571 7.4609
1.8571 1.8571 11.2424
1.8571 1.8571 0.0000

***

B | Er4Mg3Ag (GGA-PBE, optimized geometry); symmetry = Pmm2 (25)
1.0
3.3883 0.0000 0.0000
0.0000 5.0172 0.0000
0.0000 0.0000 12.2851
Er Mg Ag
4 3 1
Cartesian
0.0000 0.0000 0.0000
0.0000 2.5086 3.9620
1.6942 0.0000 5.8933
1.6942 2.5086 10.2745
0.0000 0.0000 8.9180
0.0000 2.5086 7.2685
1.6942 2.5086 1.2120
1.6942 0.0000 2.7833

***

Stability, lowest: B